1.
## Ho2TlPb (PBE)

Data for crystalline Ho2TlPb at its relaxed geometry.

Values from the calculation:
ρ ... 10.738 g cm⁻³
DOS(E_F) ... 11.77 states/eV/cell
VASP energy ... -0.30805 Ry/atom
E_form ... -148 kJ/mol of formula units

Cell and atoms, written as POSCAR:
```
Ho2TlPb
1.0
-3.8864 3.6621 -3.3785
1.5619 -3.1717 -5.2346
-9.4164 -5.7239 4.6277
Pb Ho Tl
4 8 4
direct
0.3674 0.0819 0.4028
0.3674 0.4181 0.0972
0.6326 0.9181 0.5972
0.6326 0.5819 0.9028
0.1291 0.5463 0.8654
0.8709 0.0463 0.3654
0.6243 0.0636 0.8698
0.6243 0.4364 0.6302
0.3757 0.5636 0.3698
0.8709 0.4537 0.1346
0.1291 0.9537 0.6346
0.3757 0.9364 0.1302
0.8771 0.5660 0.4038
0.1229 0.0660 0.9038
0.8771 0.9340 0.0962
0.1229 0.4340 0.5962
```

2.
## BaMgNi2 (PBE)

Data for crystalline BaMgNi2 at its relaxed geometry.

Values from the calculation:
ρ ... 5.461 g cm⁻³
DOS(E_F) ... 5.43 states/eV/cell
VASP energy ... -0.26036 Ry/atom
E_form ... 88 kJ/mol of formula units

Cell and atoms, written as POSCAR:
```
BaMgNi2
1.0
3.3049 0.0000 0.0000
0.0000 3.3048 0.0000
0.0000 0.0000 7.7675
Ba Ni Mg
1 2 1
direct
0.0000 0.0000 0.4487
0.0000 0.0000 0.0527
0.5000 0.5000 0.1589
0.5000 0.5000 0.8398
```

3.
## Rb3Pa2TiAs6 (PBE)

Data for crystalline Rb3Pa2TiAs6 at its relaxed geometry.

Values from the calculation:
ρ ... 5.607 g cm⁻³
DOS(E_F) ... 14.54 states/eV/cell
VASP energy ... -0.40098 Ry/atom
E_form ... -751 kJ/mol of formula units

Cell and atoms, written as POSCAR:
```
Rb3Pa2TiAs6
1.0
-0.0432 -0.4536 7.1923
6.2615 0.2717 -3.5576
-2.1368 8.0522 -0.7100
As Ti Rb Pa
6 1 3 2
direct
0.9410 0.6253 0.8227
0.7438 0.7438 0.1781
0.3747 0.0590 0.1773
0.0590 0.3747 0.1773
0.6253 0.9410 0.8227
0.2562 0.2562 0.8219
0.0000 0.0000 0.0000
0.5000 0.5000 0.5000
0.1685 0.8315 0.5000
0.8315 0.1685 0.5000
0.6665 0.3335 0.0000
0.3335 0.6665 0.0000
```

4.
## Rb5PaO6 (PBE)

Data for crystalline Rb5PaO6 at its relaxed geometry.

Values from the calculation:
ρ ... 4.732 g cm⁻³
DOS(E_F) ... 7.18 states/eV/cell
Raw formation energy ... -1.884 eV/atom
VASP energy ... -0.40844 Ry/atom

Cell and atoms, written as POSCAR:
```
Rb5PaO6
1.0
-5.2798 0.9106 4.2144
5.6346 -5.3620 1.1102
3.0004 6.1973 0.4478
O Rb Pa
6 5 1
direct
0.1339 0.9342 0.2518
0.8661 0.0658 0.7482
0.6224 0.8164 0.9998
0.1180 0.3172 0.2515
0.3776 0.1836 0.0002
0.8820 0.6828 0.7485
0.3340 0.8345 0.6685
0.3335 0.3334 0.6666
0.6660 0.1655 0.3315
0.0000 0.5000 0.0000
0.6665 0.6666 0.3334
0.0000 0.0000 0.0000
```